(1)
Material: LaYSb2O8
Method: DFT, PBE
State: relaxed

Cell: 5.366 5.366 11.513 Å, 90.00 90.00 90.00°
Space group I-4 (No. 82)
Unique sites:
La 0.000 0.000 0.000 (multiplicity 2)
Y 0.000 0.500 0.750 (multiplicity 2)
Sb 0.000 0.000 0.500 (multiplicity 2)
Sb 0.000 0.500 0.250 (multiplicity 2)
O 0.167 0.252 0.590 (multiplicity 8)
O 0.183 0.749 0.166 (multiplicity 8)

Computed properties:
Raw formation energy ... -2315.1 meV/atom
Total magnetic moment ... 0.0 Bohr magnetons per cell

---

(2)
Material: LaYSbO2
Method: DFT, PBE
State: relaxed

Cell: 3.962 3.962 13.755 Å, 90.00 90.00 90.00°
Space group I4mm (No. 107)
Unique sites:
La 0.000 0.000 0.000 (multiplicity 2)
Y 0.000 0.000 0.329 (multiplicity 2)
Sb 0.000 0.000 0.669 (multiplicity 2)
O 0.000 0.500 0.408 (multiplicity 4)

Computed properties:
Raw formation energy ... -2680.7 meV/atom
Total magnetic moment ... 0.0 Bohr magnetons per cell

---

Number 1: DOS(E_F) 0.000 states/eV/f.u.. Number 2: DOS(E_F) 1.532 states/eV/f.u..